Arrangement a

Here is GaRuSN2 after structural relaxation from Alexandria via LeMat-Bulk. Energies are from GGA-PBE.

Cell lengths 3.713, 3.713, 5.307 Å; angles 90.00, 90.00, 90.00 degrees
Last column: magnetic moment on the atom in μB.
Sites, in units of the cell vectors:
Ru: 0.500 0.500 0.500  2.20
S: 0.000 0.000 0.500  0.17
Ga: 0.000 0.000 0.000  0.03
N: 0.000 0.500 0.000  0.61
N: 0.500 0.000 0.000  0.61

***

Arrangement b

Here is GaRuSN2 after structural relaxation from Alexandria via LeMat-Bulk. Energies are from GGA-PBE.

Cell lengths 3.789, 3.789, 5.182 Å; angles 90.00, 90.00, 90.00 degrees
Sites, in units of the cell vectors:
Ru: 0.000 0.000 0.000
S: 0.000 0.000 0.500
Ga: 0.500 0.500 0.500
N: 0.000 0.500 0.000
N: 0.500 0.000 0.000

***

It is arrangement a that is the least stable of them.